(1)
Here is crystalline SrDy3Pd at its relaxed geometry from Alexandria via LeMat-Bulk. Energies are from GGA-PBE.

abc: 5.5714 5.5714 5.5714
angles: 90.00 90.00 90.00
Closest atoms and distances in Å follow each position.
Space group Pm-3m (No. 221)
Unique sites:
Sr 0.0000 0.0000 0.0000 [1 per cell]  12 Dy 3.94
Dy 0.0000 0.5000 0.5000 [3 per cell]  2 Pd 2.79
Pd 0.5000 0.5000 0.5000 [1 per cell]  6 Dy 2.79

* density: 6.5 g/cm³
* electronic total energy: -4.311 eV/atom
* E_form: -0.175 eV per atom


(2)
Here is crystalline Tb5Pr2YTh at its relaxed geometry from Alexandria via LeMat-Bulk. Energies are from GGA-PBE.

abc: 5.6564 19.9773 10.8503
angles: 90.00 90.00 90.00
Closest atoms and distances in Å follow each position.
Space group Cmc2_1 (No. 36)
Unique sites:
Tb 0.0000 0.0162 0.0000 [4 per cell]  2 Th 3.22, 2 Pr 3.45-3.46
Tb 0.0000 0.2812 0.2859 [4 per cell]  1 Th 3.13, 1 Pr 3.30, 2 Tb 3.45
Tb 0.0000 0.2995 0.6818 [4 per cell]  3 Tb 3.45-3.61, 3 Pr 3.51-3.69, 3 Y 3.56-3.80, 1 Th 3.59
Tb 0.0000 0.3921 0.9959 [4 per cell]  6 Tb 3.48-3.88, 4 Pr 3.59-3.64, 1 Y 3.80, 1 Th 3.89
Tb 0.0000 0.4796 0.7123 [4 per cell]  2 Th 3.16-3.30, 1 Tb 3.48, 2 Pr 3.52
Pr 0.0000 0.1153 0.7067 [4 per cell]  7 Tb 3.45-3.75, 1 Y 3.46, 2 Th 3.78
Pr 0.0000 0.1159 0.2932 [4 per cell]  8 Tb 3.30-3.59
Y 0.0000 0.2018 0.9828 [4 per cell]  2 Pr 3.46-3.78, 8 Tb 3.56-3.80, 2 Th 3.73
Th 0.0000 0.4163 0.4311 [4 per cell]  5 Tb 3.13-3.30

* density: 7.6 g/cm³
* electronic total energy: -5.015 eV/atom
* E_form: 0.163 eV per atom


(3)
Here is crystalline Zr2FeH8 at its relaxed geometry from Alexandria via LeMat-Bulk. Energies are from GGA-PBE.

abc: 12.5620 3.2186 4.0616
angles: 90.00 108.74 90.00
Closest atoms and distances in Å follow each position.
Space group C2/m (No. 12)
Unique sites:
Zr 0.1445 0.0000 0.1431 [4 per cell]  8 H 2.01-2.13
Fe 0.0000 0.5000 0.5000 [2 per cell]  4 H 1.62
H 0.0000 0.0000 0.2884 [4 per cell]  1 H 1.72, 2 Fe 1.82
H 0.1148 0.5000 0.3998 [4 per cell]  1 Fe 1.62, 1 H 1.74
H 0.1149 0.5000 0.8282 [4 per cell]  1 Fe 1.62, 1 H 1.74
H 0.2380 0.0000 0.7384 [4 per cell]  6 H 2.10-2.35, 4 Zr 2.13-2.32

* density: 5.3 g/cm³
* electronic total energy: -4.993 eV/atom


(4)
Here is crystalline DyMgSc4 at its relaxed geometry from Alexandria via LeMat-Bulk. Energies are from GGA-PBE.

abc: 9.8478 5.7702 11.1355
angles: 90.00 106.50 90.00
Closest atoms and distances in Å follow each position.
Space group C2/c (No. 15)
Unique sites:
Dy 0.2500 0.2500 0.0000 [4 per cell]  10 Sc 3.28-3.34, 2 Mg 3.31
Mg 0.0000 0.0740 0.7500 [4 per cell]  10 Sc 3.26-3.35, 2 Dy 3.31
Sc 0.0842 0.2530 0.5032 [8 per cell]  7 Sc 3.25-3.35, 2 Mg 3.26-3.30, 3 Dy 3.28-3.34
Sc 0.1642 0.4176 0.2506 [8 per cell]  7 Sc 3.23-3.35, 3 Mg 3.26-3.35, 2 Dy 3.28

* density: 4.0 g/cm³
* E above lowest polymorph: 45.1 meV/atom
* electronic total energy: -5.195 eV/atom
* E_form: 0.059 eV per atom


no.,calculated volume (A^3/atom)
1,34.59
2,34.06
3,7.07
4,25.28